## Ca2CdW (PBE-GGA)

Data for a relaxed structure of Ca2CdW.

calculated formation energy: 0.7598 eV per atom
M_tot: 2.20 μB/f.u.

Cell and atoms, written as CIF:
```
data_Ca2CdW
_cell_length_a 4.655
_cell_length_b 4.655
_cell_length_c 9.129
_cell_angle_alpha 90.00
_cell_angle_beta 90.00
_cell_angle_gamma 90.00
_symmetry_space_group_name_H-M 'I -4 m 2'
_symmetry_Int_Tables_number 119
_symmetry_space_group_name_Hall 'I -4 -2'
loop_
_atom_site_label
_atom_site_fract_x
_atom_site_fract_y
_atom_site_fract_z
_atom_site_occupancy
Ca1 0.000 0.000 0.000 1
Ca2 0.000 0.500 0.250 1
Cd1 0.000 0.500 0.750 1
W1 0.000 0.000 0.500 1
```